VASP calculation (PBE-GGA) on BaLa5Se6 after structural relaxation.

Calculated values
**Raw total energy**: -71.19 eV per cell
**Crystal system**: monoclinic
**Total magnetization**: 0.00 μB per atom

a b c (Å): 7.568 7.568 7.576
angles (deg): 99.59 99.59 120.02
Fractional coordinates of all 12 atoms:
Se1 0.914 0.569 0.741
La1 0.333 0.667 0.000
Se2 0.260 0.260 0.747
La2 0.667 0.333 0.000
La3 0.500 0.500 0.500
La4 0.838 0.162 0.500
Se3 0.569 0.914 0.741
Se4 0.740 0.740 0.253
Ba1 0.000 0.000 0.000
Se5 0.086 0.431 0.259
La5 0.162 0.838 0.500
Se6 0.431 0.086 0.259

=====

VASP calculation (PBE-GGA) on Ba2NaCuI after structural relaxation.

Calculated values
**Raw total energy**: -10.65 eV per cell
**Crystal system**: tetragonal
**Total magnetization**: 0.20 μB per atom

a b c (Å): 6.642 5.611 6.642
angles (deg): 90.00 90.00 90.00
Fractional coordinates of all 5 atoms:
I1 0.000 0.000 0.000
Na1 0.000 0.500 0.000
Ba1 0.000 0.000 0.500
Ba2 0.500 0.000 0.000
Cu1 0.500 0.500 0.500

=====

VASP calculation (PBE-GGA) on Th2H2Ir after structural relaxation.

Calculated values
**Raw total energy**: -66.53 eV per cell
**Crystal system**: orthorhombic
**Total magnetization**: 0.00 μB per atom

a b c (Å): 6.247 6.247 6.158
angles (deg): 111.72 111.72 105.69
Fractional coordinates of all 10 atoms:
Th1 0.146 0.354 0.750
Ir1 0.875 0.625 0.750
Ir2 0.125 0.375 0.250
H1 0.265 0.015 0.530
Th2 0.396 0.104 0.250
H2 0.735 0.985 0.470
Th3 0.604 0.896 0.750
H3 0.485 0.235 0.970
H4 0.515 0.765 0.030
Th4 0.854 0.646 0.250

=====

VASP calculation (PBE-GGA) on HfGa3Si after structural relaxation.

Calculated values
**Energy above the most stable polymorph in this dataset**: 0.0 kJ/mol of formula units
**Raw total energy**: -21.52 eV per cell
**Crystal system**: cubic
**Total magnetization**: 0.00 μB per atom

a b c (Å): 4.716 4.716 4.716
angles (deg): 90.00 90.00 90.00
Fractional coordinates of all 5 atoms:
Ga1 0.000 0.500 0.000
Hf1 0.500 0.500 0.500
Ga2 0.000 0.000 0.500
Ga3 0.500 0.000 0.000
Si1 0.000 0.000 0.000

=====

VASP calculation (PBE-GGA) on ScFe2Ge2 after structural relaxation.

Calculated values
**Formation energy**: -0.19 eV per atom
**Raw total energy**: -33.46 eV per cell
**Crystal system**: orthorhombic
**Total magnetization**: 0.03 μB per atom

a b c (Å): 4.060 4.017 5.496
angles (deg): 90.00 111.68 90.00
Fractional coordinates of all 5 atoms:
Fe1 0.232 0.300 0.465
Ge1 0.358 0.800 0.716
Ge2 0.617 0.300 0.235
Sc1 0.049 0.800 0.098
Fe2 0.743 0.800 0.486

=====

VASP calculation (PBE-GGA) on NdDySi2Pt5 after structural relaxation.

Calculated values
**Raw total energy**: -59.81 eV per cell
**Crystal system**: tetragonal
**Total magnetization**: 0.00 μB per atom

a b c (Å): 4.240 4.240 8.989
angles (deg): 90.00 90.00 90.00
Fractional coordinates of all 9 atoms:
Nd1 0.000 0.000 0.500
Si1 0.500 0.500 0.131
Pt1 0.500 0.500 0.500
Pt2 0.500 0.000 0.741
Si2 0.500 0.500 0.869
Pt3 0.000 0.500 0.741
Pt4 0.000 0.500 0.259
Pt5 0.500 0.000 0.259
Dy1 0.000 0.000 0.000

=====

VASP calculation (PBE-GGA) on BaZn4Rh after structural relaxation.

Calculated values
**Formation energy**: -0.05 eV per atom
**Energy above the most stable polymorph in this dataset**: 112.7 kJ/mol of formula units
**Raw total energy**: -14.68 eV per cell
**Crystal system**: cubic
**Total magnetization**: 0.00 μB per atom

a b c (Å): 5.423 5.423 5.423
angles (deg): 60.00 60.00 60.00
Fractional coordinates of all 6 atoms:
Zn1 0.372 0.372 0.372
Zn2 0.372 0.884 0.372
Zn3 0.372 0.372 0.884
Rh1 0.000 0.000 0.000
Zn4 0.884 0.372 0.372
Ba1 0.750 0.750 0.750

=====

VASP calculation (PBE-GGA) on K5Hg12Au3 after structural relaxation.

Calculated values
**Formation energy**: -0.08 eV per atom
**Raw total energy**: -81.81 eV per cell
**Crystal system**: cubic
**Total magnetization**: 0.00 μB per atom

a b c (Å): 16.199 16.199 16.199
angles (deg): 109.47 109.47 109.47
Fractional coordinates of all 80 atoms:
Hg1 0.897 0.848 0.756
Hg2 0.859 0.603 0.951
Hg3 0.652 0.244 0.603
Hg4 0.756 0.408 0.359
Au1 0.750 0.375 0.125
Hg5 0.152 0.049 0.908
K1 0.000 0.500 0.000
Hg6 0.348 0.592 0.451
Hg7 0.092 0.641 0.744
Hg8 0.451 0.359 0.603
Hg9 0.092 0.451 0.848
K2 0.500 0.000 0.500
Hg10 0.951 0.103 0.859
K3 0.625 0.750 0.875
Au2 0.250 0.125 0.375
Hg11 0.652 0.408 0.549
Hg12 0.848 0.897 0.256
Hg13 0.756 0.348 0.897
Au3 0.125 0.250 0.875
K4 0.125 0.375 0.250
K5 0.000 0.000 0.500
Hg14 0.549 0.908 0.652
Hg15 0.951 0.848 0.592
Hg16 0.408 0.652 0.049
Hg17 0.592 0.244 0.141
Hg18 0.848 0.951 0.092
K6 0.250 0.875 0.125
Hg19 0.549 0.641 0.397
Au4 0.375 0.625 0.250
Hg20 0.049 0.897 0.141
K7 0.500 0.500 0.500
Hg21 0.603 0.859 0.451
Hg22 0.244 0.592 0.641
Au5 0.875 0.125 0.250
Hg23 0.359 0.451 0.103
Hg24 0.348 0.756 0.397
Hg25 0.152 0.103 0.744
Hg26 0.256 0.859 0.908
Au6 0.125 0.875 0.750
Hg27 0.908 0.549 0.152
Hg28 0.256 0.397 0.848
Hg29 0.359 0.908 0.756
K8 0.500 0.000 0.000
Hg30 0.397 0.141 0.549
Hg31 0.592 0.348 0.951
Hg32 0.141 0.744 0.592
Au7 0.750 0.875 0.625
Hg33 0.141 0.397 0.049
Au8 0.375 0.750 0.625
Hg34 0.744 0.603 0.152
K9 0.375 0.125 0.750
Hg35 0.103 0.152 0.244
Hg36 0.908 0.359 0.256
Hg37 0.897 0.049 0.641
K10 0.125 0.750 0.375
K11 0.750 0.625 0.375
K12 0.500 0.500 0.000
Au9 0.625 0.250 0.375
Hg38 0.049 0.152 0.408
Hg39 0.408 0.756 0.859
Au10 0.625 0.375 0.750
Hg40 0.244 0.652 0.103
K13 0.250 0.375 0.625
K14 0.875 0.250 0.625
K15 0.625 0.875 0.250
K16 0.375 0.250 0.125
Hg41 0.103 0.951 0.359
Au11 0.875 0.750 0.125
K17 0.750 0.125 0.875
K18 0.000 0.000 0.000
Hg42 0.641 0.549 0.897
K19 0.875 0.625 0.750
Hg43 0.744 0.141 0.092
K20 0.000 0.500 0.500
Hg44 0.641 0.092 0.244
Au12 0.250 0.625 0.875
Hg45 0.451 0.092 0.348
Hg46 0.397 0.256 0.348
Hg47 0.859 0.256 0.408
Hg48 0.603 0.744 0.652

=====

VASP calculation (PBE-GGA) on NaSc2Cd6 after structural relaxation.

Calculated values
**Formation energy**: -0.19 eV per atom
**Raw total energy**: -21.14 eV per cell
**Crystal system**: hexagonal
**Total magnetization**: 0.02 μB per atom

a b c (Å): 3.206 8.551 8.551
angles (deg): 60.01 89.99 89.99
Fractional coordinates of all 9 atoms:
Sc1 0.000 0.333 0.333
Cd1 0.501 0.336 0.000
Cd2 0.499 0.664 0.000
Cd3 0.500 0.336 0.664
Cd4 0.501 0.000 0.336
Sc2 0.000 0.667 0.667
Na1 0.000 0.000 0.000
Cd5 0.499 0.000 0.664
Cd6 0.500 0.664 0.336

=====

VASP calculation (PBE-GGA) on Tb3Pm6Dy2Mg after structural relaxation.

Calculated values
**Formation energy**: 0.02 eV per atom
**Raw total energy**: -52.95 eV per cell
**Crystal system**: monoclinic
**Total magnetization**: 0.00 μB per atom

a b c (Å): 6.220 6.220 11.780
angles (deg): 95.06 95.06 120.03
Fractional coordinates of all 12 atoms:
Tb1 0.500 0.500 0.500
Pm1 0.918 0.586 0.752
Tb2 0.166 0.834 0.500
Pm2 0.750 0.750 0.249
Pm3 0.250 0.250 0.751
Dy1 0.333 0.667 0.000
Mg1 0.000 0.000 0.000
Pm4 0.586 0.918 0.752
Dy2 0.667 0.333 0.000
Pm5 0.082 0.414 0.248
Tb3 0.834 0.166 0.500
Pm6 0.414 0.082 0.248

=====

VASP calculation (PBE-GGA) on La2ZrAlBi after structural relaxation.

Calculated values
**Formation energy**: 0.56 eV per atom
**Raw total energy**: -23.22 eV per cell
**Crystal system**: tetragonal
**Total magnetization**: 0.00 μB per atom

a b c (Å): 5.665 5.318 5.665
angles (deg): 90.00 90.00 90.00
Fractional coordinates of all 5 atoms:
Zr1 0.500 0.500 0.500
Bi1 0.000 0.500 0.000
La1 0.000 0.000 0.500
Al1 0.000 0.000 0.000
La2 0.500 0.000 0.000

=====

VASP calculation (PBE-GGA) on Sr2CaPdO5 after structural relaxation.

Calculated values
**Raw total energy**: -52.63 eV per cell
**Crystal system**: orthorhombic
**Total magnetization**: 0.02 μB per atom

a b c (Å): 3.893 5.830 6.881
angles (deg): 115.06 106.43 90.00
Fractional coordinates of all 9 atoms:
Sr1 0.791 0.791 0.581
O1 0.624 0.374 0.247
O2 0.624 0.874 0.247
Sr2 0.209 0.209 0.419
O3 0.376 0.126 0.753
Pd1 0.500 0.000 0.000
Ca1 0.000 0.500 0.000
O4 0.000 0.000 0.000
O5 0.376 0.626 0.753

=====

> The highest total magnetization belongs to which entry?

Ba2NaCuI

=====

> What is the raw total energy in the eighth record?

-81.81 eV per cell